Entry from OQMD: a relaxed LuSnW2 crystal (PBE).

```
LuSnW2
1.0
-1.484 1.788 4.146
-4.262 2.081 0.301
-3.520 -2.127 2.382
Sn Lu W
1 1 2
direct
0.500 0.500 0.500
0.250 0.250 0.250
0.750 0.750 0.750
0.000 0.000 0.000
```

The value obtained for the calculated total energy is -8.296 eV per atom.

=====

Entry from OQMD: a relaxed Lu2SnW crystal (PBE).

```
Lu2SnW
1.0
0.000 3.513 3.513
3.513 0.000 3.513
3.513 3.513 0.000
Sn Lu W
1 2 1
direct
0.500 0.500 0.500
0.750 0.750 0.750
0.000 0.000 0.000
0.250 0.250 0.250
```

The value obtained for the calculated total energy is -6.298 eV per atom.